(1)
## K3In6Sn5 (PBE)

Data for a relaxed K3In6Sn5 crystal.

Geometry as POSCAR:
```
K3In6Sn5
1.0
-2.152 2.901 -3.359
-8.282 2.829 7.751
8.395 11.677 4.707
In Sn K
12 10 6
Direct
0.500 0.973 0.000
0.000 0.613 0.675
0.500 0.018 0.654
0.000 0.425 0.500
0.500 0.018 0.346
0.500 0.575 0.000
0.500 0.387 0.175
0.500 0.387 0.825
0.000 0.982 0.846
0.000 0.027 0.500
0.000 0.982 0.154
0.000 0.613 0.325
0.500 0.131 0.837
0.500 0.131 0.163
0.000 0.869 0.337
0.000 0.799 0.000
0.500 0.201 0.500
0.000 0.869 0.663
0.500 0.472 0.365
0.000 0.528 0.865
0.500 0.472 0.635
0.000 0.528 0.135
0.000 0.244 0.687
0.500 0.756 0.187
0.000 0.244 0.313
0.500 0.748 0.500
0.000 0.252 0.000
0.500 0.756 0.813
```

Energy of formation   -130.7 meV/atom
SG   Pmmn
N(E_F)   10.26 states/eV per cell
DFT total energy   -2.969 eV/atom

(2)
## SmYGa2Co2 (PBE)

Data for a relaxed SmYGa2Co2 crystal.

Geometry as POSCAR:
```
SmYGa2Co2
1.0
4.210 0.000 0.000
-2.105 3.646 0.000
0.000 0.000 7.450
Sm Y Co Ga
1 1 2 2
Direct
0.000 0.000 0.000
0.000 0.000 0.500
0.333 0.667 0.741
0.667 0.333 0.259
0.333 0.667 0.258
0.667 0.333 0.742
```

Energy of formation   -410.8 meV/atom
SG   P-3m1
N(E_F)   5.88 states/eV per cell
DFT total energy   -5.652 eV/atom

(3)
## LiHSN2 (PBE)

Data for a relaxed LiHSN2 crystal.

Geometry as POSCAR:
```
LiHSN2
1.0
-1.135 0.174 -3.465
1.403 -3.311 -0.626
-2.877 -1.384 0.873
N H S Li
2 1 1 1
Direct
0.500 0.000 0.000
0.000 0.500 0.000
0.000 0.000 0.000
0.000 0.000 0.500
0.500 0.500 0.500
```

Distance to the lowest polymorph of the same formula   0 meV/atom
SG   P4/mmm
N(E_F)   1.83 states/eV per cell
DFT total energy   -3.619 eV/atom

(4)
## Sr2CoP (PBE)

Data for a relaxed Sr2CoP crystal.

Geometry as POSCAR:
```
Sr2CoP
1.0
-3.057 -2.621 -2.844
1.104 -0.778 -4.742
1.302 -4.506 -1.520
Co P Sr
1 1 2
Direct
0.500 0.500 0.500
0.750 0.750 0.750
0.000 0.000 0.000
0.250 0.250 0.250
```

Energy of formation   245.0 meV/atom
SG   F-43m
N(E_F)   1.32 states/eV per cell
DFT total energy   -3.725 eV/atom

(5)
## Nb2MoW8 (PBE)

Data for a relaxed Nb2MoW8 crystal.

Geometry as POSCAR:
```
Nb2MoW8
1.0
-2.790 -1.231 -0.957
3.510 -4.792 -4.016
-0.207 -7.062 4.411
Mo W Nb
1 8 2
Direct
0.000 0.000 0.970
0.819 0.090 0.331
0.634 0.178 0.701
0.089 0.452 0.792
0.180 0.911 0.608
0.544 0.727 0.880
0.365 0.823 0.238
0.455 0.274 0.059
0.910 0.549 0.148
0.273 0.362 0.423
0.726 0.639 0.517
```

Energy of formation   -49.8 meV/atom
SG   P-1
N(E_F)   5.03 states/eV per cell
DFT total energy   -12.286 eV/atom

(6)
## ZrFe2 (PBE)

Data for a relaxed ZrFe2 crystal.

Geometry as POSCAR:
```
ZrFe2
1.0
-7.154 5.078 1.512
6.237 -6.256 1.103
2.110 2.427 1.834
Fe Zr
4 2
Direct
0.555 0.445 0.750
0.941 0.059 0.750
0.445 0.555 0.250
0.059 0.941 0.250
0.818 0.182 0.250
0.182 0.818 0.750
```

Energy of formation   233.4 meV/atom
SG   Cmcm
N(E_F)   6.72 states/eV per cell
DFT total energy   -8.258 eV/atom

(7)
## Cs2HfBr6Cl (PBE)

Data for a relaxed Cs2HfBr6Cl crystal.

Geometry as POSCAR:
```
Cs2HfBr6Cl
1.0
-0.883 -4.200 7.945
2.384 -8.171 1.625
6.565 -2.499 5.045
Cs Br Hf Cl
2 6 1 1
Direct
0.033 0.063 0.826
0.598 0.540 0.323
0.116 0.491 0.836
0.584 0.065 0.856
0.519 0.529 0.855
0.488 0.046 0.343
0.141 0.026 0.333
0.051 0.526 0.281
0.317 0.300 0.064
0.815 0.076 0.297
```

Distance to the lowest polymorph of the same formula   0 meV/atom
SG   P1
N(E_F)   1.44 states/eV per cell
DFT total energy   -3.803 eV/atom

(8)
## LaTmPt (PBE)

Data for a relaxed LaTmPt crystal.

Geometry as POSCAR:
```
LaTmPt
1.0
4.802 -0.234 -0.072
0.229 4.802 -0.080
-0.009 -0.023 7.085
Pt La Tm
2 2 2
Direct
0.304 0.355 0.703
0.823 0.878 0.136
0.813 0.866 0.536
0.314 0.367 0.303
0.315 0.865 0.920
0.812 0.368 0.920
```

Distance to the lowest polymorph of the same formula   23 meV/atom
Energy of formation   -910.1 meV/atom
SG   P-1
N(E_F)   7.08 states/eV per cell
DFT total energy   -6.057 eV/atom

(9)
## BaSb6Au6 (PBE)

Data for a relaxed BaSb6Au6 crystal.

Geometry as POSCAR:
```
BaSb6Au6
1.0
7.633 0.000 0.000
0.000 7.633 0.000
0.000 0.000 7.633
Au Sb Ba
6 6 1
Direct
0.000 0.500 0.258
0.000 0.500 0.742
0.258 0.000 0.500
0.500 0.258 0.000
0.500 0.742 0.000
0.742 0.000 0.500
0.244 0.500 0.000
0.000 0.244 0.500
0.756 0.500 0.000
0.500 0.000 0.244
0.000 0.756 0.500
0.500 0.000 0.756
0.000 0.000 0.000
```

SG   Pm-3
N(E_F)   2.46 states/eV per cell
DFT total energy   -3.682 eV/atom

(10)
## HgPPt2 (PBE)

Data for a relaxed HgPPt2 crystal.

Geometry as POSCAR:
```
HgPPt2
1.0
1.312 -1.526 4.096
-2.990 -0.149 3.444
-1.519 -4.022 1.530
P Pt Hg
1 2 1
Direct
0.000 0.000 0.000
0.750 0.750 0.750
0.250 0.250 0.250
0.500 0.500 0.500
```

Distance to the lowest polymorph of the same formula   376 meV/atom
Energy of formation   251.4 meV/atom
SG   Fm-3m
N(E_F)   1.64 states/eV per cell
DFT total energy   -4.197 eV/atom

(11)
## Y2TlP (PBE)

Data for a relaxed Y2TlP crystal.

Geometry as POSCAR:
```
Y2TlP
1.0
-2.985 1.329 -1.246
-0.863 -3.348 0.524
-2.407 1.828 7.715
P Y Tl
1 2 1
Direct
0.500 0.500 0.500
0.000 0.000 0.710
0.000 0.000 0.290
0.500 0.500 0.000
```

Distance to the lowest polymorph of the same formula   267 meV/atom
Energy of formation   -730.1 meV/atom
SG   Cmmm
N(E_F)   2.56 states/eV per cell
DFT total energy   -5.906 eV/atom

(12)
## MgZn6Ir2 (PBE)

Data for a relaxed MgZn6Ir2 crystal.

Geometry as POSCAR:
```
MgZn6Ir2
1.0
-2.941 -2.673 -1.480
2.821 -3.450 -5.451
3.077 -6.276 -0.855
Ir Zn Mg
2 6 1
Direct
0.888 0.612 0.612
0.112 0.388 0.388
0.300 0.451 0.949
0.700 0.549 0.051
0.500 0.276 0.724
0.500 0.724 0.276
0.300 0.949 0.451
0.700 0.051 0.549
0.000 0.000 0.000
```

Distance to the lowest polymorph of the same formula   44 meV/atom
Energy of formation   -130.7 meV/atom
SG   Immm
N(E_F)   4.22 states/eV per cell
DFT total energy   -3.126 eV/atom

(13)
## Ta4OsRh7 (PBE)

Data for a relaxed Ta4OsRh7 crystal.

Geometry as POSCAR:
```
Ta4OsRh7
1.0
4.704 0.844 0.501
3.448 7.819 1.403
-0.758 0.841 5.769
Rh Ta Os
7 4 1
Direct
0.214 0.035 0.588
0.107 0.641 0.202
0.857 0.395 0.296
0.786 0.965 0.412
0.893 0.359 0.798
0.500 0.000 0.000
0.143 0.605 0.704
0.439 0.317 0.085
0.488 0.263 0.595
0.561 0.683 0.915
0.512 0.737 0.405
0.000 0.000 0.000
```

Energy of formation   -255.2 meV/atom
SG   P-1
N(E_F)   8.79 states/eV per cell
DFT total energy   -9.430 eV/atom

(14)
## Ba2Zn3GePt4 (PBE)

Data for a relaxed Ba2Zn3GePt4 crystal.

Geometry as POSCAR:
```
Ba2Zn3GePt4
1.0
-1.645 -4.253 0.265
1.693 -0.913 -4.143
8.806 -3.139 4.291
Zn Ba Pt Ge
3 2 4 1
Direct
0.000 0.500 0.125
0.000 0.000 0.500
0.500 0.000 0.875
0.500 0.000 0.242
0.000 0.500 0.758
0.500 0.500 0.000
0.000 0.500 0.384
0.000 0.000 0.000
0.500 0.000 0.616
0.500 0.500 0.500
```

Energy of formation   -644.2 meV/atom
SG   P-4m2
N(E_F)   6.30 states/eV per cell
DFT total energy   -4.289 eV/atom

(15)
## NbNi2As2 (PBE)

Data for a relaxed NbNi2As2 crystal.

Geometry as POSCAR:
```
NbNi2As2
1.0
7.002 0.000 0.000
0.000 7.002 0.000
0.000 0.000 2.925
Ni As Nb
4 4 2
Direct
0.638 0.862 0.500
0.862 0.362 0.500
0.138 0.638 0.500
0.362 0.138 0.500
0.344 0.844 0.000
0.844 0.656 0.000
0.156 0.344 0.000
0.656 0.156 0.000
0.500 0.500 0.000
0.000 0.000 0.000
```

Energy of formation   -227.8 meV/atom
SG   P4/mbm
N(E_F)   4.76 states/eV per cell
DFT total energy   -6.414 eV/atom

(16)
## SbHPbS2 (PBE)

Data for a relaxed SbHPbS2 crystal.

Geometry as POSCAR:
```
SbHPbS2
1.0
-3.435 2.573 2.716
-0.926 -3.149 1.813
3.525 0.990 3.520
Pb H S Sb
1 1 2 1
Direct
0.000 0.500 0.000
0.000 0.000 0.000
0.500 0.000 0.000
0.000 0.000 0.500
0.500 0.500 0.500
```

SG   P4/mmm
N(E_F)   2.29 states/eV per cell
DFT total energy   -3.485 eV/atom

(17)
## Cs3KO (PBE)

Data for a relaxed Cs3KO crystal.

Geometry as POSCAR:
```
Cs3KO
1.0
-1.680 2.138 5.761
-1.648 -5.910 1.713
5.920 -1.039 2.112
K Cs O
1 3 1
Direct
0.500 0.500 0.500
0.000 0.500 0.000
0.000 0.000 0.500
0.500 0.000 0.000
0.000 0.000 0.000
```

SG   Pm-3m
N(E_F)   0.55 states/eV per cell
DFT total energy   -2.145 eV/atom

(18)
## CdTcCl2 (PBE)

Data for a relaxed CdTcCl2 crystal.

Geometry as POSCAR:
```
CdTcCl2
1.0
-1.682 -0.971 8.571
-1.972 -4.114 7.511
1.030 -2.873 8.241
Tc Cl Cd
1 2 1
Direct
0.507 0.507 0.507
0.226 0.226 0.226
0.015 0.015 0.015
0.753 0.753 0.753
```

Distance to the lowest polymorph of the same formula   0 meV/atom
SG   R3m
N(E_F)   2.39 states/eV per cell
DFT total energy   -3.948 eV/atom

(19)
## CeCrSi2 (PBE)

Data for a relaxed CeCrSi2 crystal.

Geometry as POSCAR:
```
CeCrSi2
1.0
3.051 0.000 0.000
1.526 2.643 0.000
1.526 0.881 8.373
Si Cr Ce
2 1 1
Direct
0.267 0.267 0.199
0.733 0.733 0.801
0.000 0.000 0.000
0.500 0.500 0.500
```

SG   R-3m
N(E_F)   3.81 states/eV per cell
DFT total energy   -6.613 eV/atom

(20)
## PuCdAgO4 (PBE)

Data for a relaxed PuCdAgO4 crystal.

Geometry as POSCAR:
```
PuCdAgO4
1.0
6.949 0.000 0.000
-3.475 5.837 -0.396
0.000 -3.502 5.760
O Ag Pu Cd
8 2 2 2
Direct
0.247 0.494 0.700
0.307 0.066 0.283
0.247 0.494 0.293
0.758 0.066 0.283
0.753 0.506 0.300
0.693 0.934 0.717
0.753 0.506 0.707
0.242 0.934 0.717
0.117 0.234 0.867
0.883 0.766 0.133
0.000 0.500 0.500
0.500 0.500 0.500
0.500 0.000 0.500
0.500 0.000 0.000
```

SG   Imma
N(E_F)   12.19 states/eV per cell
DFT total energy   -7.058 eV/atom

What are the M_tot values for these records? In order: 0.0 0.0 0.0 0.0 0.0 8.1 0.5 0.0 0.0 0.0 0.0 0.0 0.0 0.0 0.0 0.0 0.0 0.0 0.6 6.0 μB per cell.